Entry 1:
Compound: LiBeCdN2
Source: Alexandria
Functional: GGA-PBE
Structure: relaxed

abc: 3.5652 4.6983 3.5652
angles: 90.00 90.00 90.00
Last column: nearest neighbours and their distance in Å.
Fractional coordinates of all 5 atoms:
N 0.5000 0.0000 0.0000  2 Be 1.78
N 0.0000 0.0000 0.5000  2 Be 1.78
Cd 0.0000 0.5000 0.0000  2 Be 2.35, 4 Li 2.52
Li 0.5000 0.5000 0.5000  4 Cd 2.52
Be 0.0000 0.0000 0.0000  4 N 1.78

Output
Space group   P4/mmm (123)
Magnetization   0.00 μB/cell
DOS(E_F)   1.53 states/eV per cell
Energy relative to the elements, uncorrected   85.8 kJ per mole of atoms

Entry 2:
Compound: PuCd2
Source: Alexandria
Functional: GGA-PBE
Structure: relaxed

abc: 5.9491 5.9491 5.9491
angles: 60.00 60.00 60.00
Last column: nearest neighbours and their distance in Å.
Fractional coordinates of all 6 atoms:
Cd 0.6250 0.1250 0.6250  6 Cd 2.97
Cd 0.6250 0.6250 0.1250  6 Cd 2.97
Cd 0.1250 0.6250 0.6250  6 Cd 2.97
Cd 0.6250 0.6250 0.6250  6 Cd 2.97
Pu 0.0000 0.0000 0.0000  12 Cd 3.49, 4 Pu 3.64
Pu 0.2500 0.2500 0.2500  12 Cd 3.49, 4 Pu 3.64

Output
Space group   Fd-3m (227)
Magnetization   11.91 μB/cell
DOS(E_F)   16.99 states/eV per cell
ΔE_f   -0.033 eV/atom

Entry 3:
Compound: Th2Zn2InIr5
Source: Alexandria
Functional: GGA-PBE
Structure: relaxed

abc: 3.8184 9.7535 9.7535
angles: 90.00 90.00 90.00
Last column: nearest neighbours and their distance in Å.
Fractional coordinates of all 20 atoms:
Zn 0.0000 0.6198 0.8802  6 Ir 2.53-2.57, 1 Th 2.80
Zn 0.0000 0.1198 0.6198  6 Ir 2.53-2.57, 1 Th 2.80
Zn 0.0000 0.3802 0.1198  6 Ir 2.53-2.57, 1 Th 2.80
Zn 0.0000 0.8802 0.3802  6 Ir 2.53-2.57, 1 Th 2.80
In 0.0000 0.0000 0.0000  8 Ir 2.89
In 0.0000 0.5000 0.5000  8 Ir 2.89
Th 0.0000 0.8228 0.6772  3 Zn 2.80-2.95, 6 Ir 3.10-3.12
Th 0.0000 0.3228 0.8228  3 Zn 2.80-2.95, 6 Ir 3.10-3.12
Th 0.0000 0.1772 0.3228  3 Zn 2.80-2.95, 6 Ir 3.10-3.12
Th 0.0000 0.6772 0.1772  3 Zn 2.80-2.95, 6 Ir 3.10-3.12
Ir 0.5000 0.7902 0.9280  2 Zn 2.57
Ir 0.5000 0.2098 0.0720  2 Zn 2.57
Ir 0.5000 0.9280 0.2098  2 Zn 2.57
Ir 0.5000 0.0000 0.5000  4 Zn 2.53
Ir 0.5000 0.5720 0.7098  2 Zn 2.57
Ir 0.5000 0.4280 0.2902  2 Zn 2.57
Ir 0.5000 0.0720 0.7902  2 Zn 2.57
Ir 0.5000 0.5000 0.0000  4 Zn 2.53
Ir 0.5000 0.2902 0.5720  2 Zn 2.57
Ir 0.5000 0.7098 0.4280  2 Zn 2.57

Output
Space group   P4/mbm (127)
Magnetization   0.00 μB/cell
DOS(E_F)   11.68 states/eV per cell
ΔE_f   -0.526 eV/atom